(1)
Na4Si2AgIr after structural relaxation. Source: the Open Quantum Materials Database, functional GGA-PBE.

V = 138.7 Å³/cell
Space-group type = P-4m2
Uncorrected energy = -3.35 eV/atom

a b c (Å): 4.605 4.605 6.539
angles (deg): 90.00 90.00 90.00
Sites, in units of the cell vectors:
Ag: 0.000 0.000 0.000
Ir: 0.500 0.500 0.500
Na: 0.500 0.500 0.000
Na: 0.000 0.500 0.242
Na: 0.000 0.000 0.500
Na: 0.500 0.000 0.758
Si: 0.500 0.000 0.295
Si: 0.000 0.500 0.705

---

(2)
NaTcAgIr after structural relaxation. Source: the Open Quantum Materials Database, functional GGA-PBE.

V = 64.0 Å³/cell
E above lowest polymorph = 0.14 eV per formula unit
Space-group type = F-43m

a b c (Å): 4.490 4.490 4.490
angles (deg): 60.00 60.00 60.00
Sites, in units of the cell vectors:
Ag: 0.500 0.500 0.500
Ir: 0.000 0.000 0.000
Na: 0.750 0.750 0.750
Tc: 0.250 0.250 0.250

---

(3)
NaTcAgIr after structural relaxation. Source: the Open Quantum Materials Database, functional GGA-PBE.

V = 63.2 Å³/cell
E above lowest polymorph = 0.00 eV per formula unit
Space-group type = F-43m

a b c (Å): 4.471 4.471 4.471
angles (deg): 60.00 60.00 60.00
Sites, in units of the cell vectors:
Ag: 0.000 0.000 0.000
Ir: 0.250 0.250 0.250
Na: 0.750 0.750 0.750
Tc: 0.500 0.500 0.500

---

(4)
NbAgIr after structural relaxation. Source: the Open Quantum Materials Database, functional GGA-PBE.

V = 58.8 Å³/cell
E above lowest polymorph = 0.49 eV per formula unit
Space-group type = F-43m

a b c (Å): 4.366 4.366 4.366
angles (deg): 60.00 60.00 60.00
Sites, in units of the cell vectors:
Ag: 0.250 0.250 0.250
Ir: 0.750 0.750 0.750
Nb: 0.000 0.000 0.000